Computed, not measured: a geometry-optimized Si2NiO structure at the PBE+U level of DFT.

Cell: 4.9726 4.9726 5.6540 Å, 63.91 63.91 90.00°
Last column: nearest neighbours and their distance in Å.
Element x y z (fractional)
Ni 0.0000 0.0000 0.0000  4 Si 2.16
Ni 0.7500 0.2500 0.5000  4 Si 2.16
Si 0.5978 0.1250 0.2500  2 O 2.00, 2 Ni 2.16
Si 0.1522 0.6250 0.2500  2 O 2.00, 2 Ni 2.16
Si 0.3750 0.4022 0.7500  2 O 2.00, 2 Ni 2.16
Si 0.8750 0.8478 0.7500  2 O 2.00, 2 Ni 2.16
O 0.5000 0.5000 0.0000  4 Si 2.00
O 0.2500 0.7500 0.5000  4 Si 2.00

SG: No. 122
Total DFT energy (no corrections), eV/atom: -4.6365